Record 1
# ZrNb2Ga2

A relaxed ZrNb2Ga2 crystal (PBE-GGA, the Open Quantum Materials Database).

Results
VASP energy, eV for the cell shown: -36.478
Excess energy over the best structure of this formula in the dataset, meV/atom: 71
ρ, g cm⁻³: 7.46

Cell lengths 6.708, 6.708, 6.708 Å; angles 146.26, 146.26, 48.46 degrees
Fractional positions:
Ga 0.404 0.404 0.000
Ga 0.596 0.596 0.000
Nb 0.750 0.250 0.500
Nb 0.250 0.750 0.500
Zr 0.000 0.000 0.000

---

Record 2
# Pr2SiAg

A relaxed Pr2SiAg crystal (PBE-GGA, the Open Quantum Materials Database).

Results
VASP energy, eV for the cell shown: -39.131
ρ, g cm⁻³: 6.58

Cell lengths 4.463, 7.729, 6.116 Å; angles 90.00, 90.00, 90.00 degrees
Each line ends with the local moment (μB).
Fractional positions:
Ag 0.000 0.286 0.122  0.02
Ag 0.500 0.714 0.622  0.03
Pr 0.500 0.574 0.143  0.14
Pr 0.500 0.080 0.376  0.08
Pr 0.000 0.426 0.643  0.14
Pr 0.000 0.920 0.876  0.08
Si 0.000 0.800 0.359  0.00
Si 0.500 0.200 0.859  0.00

---

Record 3
# Ho3Ga4Cu4

A relaxed Ho3Ga4Cu4 crystal (PBE-GGA, the Open Quantum Materials Database).

Results
VASP energy, eV for the cell shown: -45.663
ρ, g cm⁻³: 8.63

Cell lengths 7.986, 7.986, 7.986 Å; angles 149.24, 130.01, 59.85 degrees
Fractional positions:
Cu 0.642 0.329 0.313
Cu 0.984 0.671 0.313
Cu 0.016 0.329 0.687
Cu 0.358 0.671 0.687
Ga 0.218 0.218 0.000
Ga 0.782 0.782 0.000
Ga 0.688 0.500 0.188
Ga 0.312 0.500 0.812
Ho 0.000 0.000 0.000
Ho 0.629 0.129 0.500
Ho 0.371 0.871 0.500

---

Record 4
# Ba2CuP2

A relaxed Ba2CuP2 crystal (PBE-GGA, the Open Quantum Materials Database).

Results
VASP energy, eV for the cell shown: -44.149
ρ, g cm⁻³: 4.46

Cell lengths 9.159, 9.159, 7.951 Å; angles 90.00, 90.00, 153.49 degrees
Fractional positions:
Ba 0.528 0.472 0.210
Ba 0.281 0.719 0.385
Ba 0.472 0.528 0.710
Ba 0.719 0.281 0.885
Cu 0.879 0.121 0.123
Cu 0.121 0.879 0.623
P 0.348 0.652 0.014
P 0.919 0.081 0.401
P 0.652 0.348 0.514
P 0.081 0.919 0.901

---

Record 5
# ThCd

A relaxed ThCd crystal (PBE-GGA, the Open Quantum Materials Database).

Results
VASP energy, eV for the cell shown: -6.016
ρ, g cm⁻³: 6.89

Cell lengths 4.897, 4.897, 4.897 Å; angles 60.00, 60.00, 60.00 degrees
Fractional positions:
Cd 0.000 0.000 0.000
Th 0.250 0.250 0.250

---

Record 6
# Ba4Sm2Cd3S10

A relaxed Ba4Sm2Cd3S10 crystal (PBE-GGA, the Open Quantum Materials Database).

Results
VASP energy, eV for the cell shown: -184.170
ρ, g cm⁻³: 4.86

Cell lengths 9.325, 9.325, 26.915 Å; angles 90.00, 90.00, 153.90 degrees
Fractional positions:
Ba 0.661 0.339 0.109
Ba 0.903 0.097 0.161
Ba 0.924 0.076 0.343
Ba 0.662 0.338 0.390
Ba 0.339 0.661 0.609
Ba 0.097 0.903 0.661
Ba 0.076 0.924 0.843
Ba 0.338 0.662 0.890
Cd 0.338 0.662 0.038
Cd 0.281 0.719 0.269
Cd 0.344 0.656 0.456
Cd 0.662 0.338 0.538
Cd 0.719 0.281 0.769
Cd 0.656 0.344 0.956
S 0.153 0.847 0.010
S 0.482 0.518 0.068
S 0.288 0.712 0.123
S 0.076 0.924 0.178
S 0.734 0.266 0.231
S 0.426 0.574 0.253
S 0.091 0.909 0.317
S 0.292 0.708 0.368
S 0.488 0.512 0.428
S 0.157 0.843 0.482
S 0.847 0.153 0.510
S 0.518 0.482 0.568
S 0.712 0.288 0.623
S 0.924 0.076 0.678
S 0.266 0.734 0.731
S 0.574 0.426 0.753
S 0.909 0.091 0.817
S 0.708 0.292 0.868
S 0.512 0.488 0.928
S 0.843 0.157 0.982
Sm 0.997 0.003 0.000
Sm 0.580 0.420 0.246
Sm 0.003 0.997 0.500
Sm 0.420 0.580 0.746

---

Record 7
# NbSb

A relaxed NbSb crystal (PBE-GGA, the Open Quantum Materials Database).

Results
VASP energy, eV for the cell shown: -12.534
ρ, g cm⁻³: 5.50

Cell lengths 4.509, 4.509, 4.509 Å; angles 60.00, 60.00, 60.00 degrees
Each line ends with the local moment (μB).
Fractional positions:
Nb 0.000 0.000 0.000  1.72
Sb 0.250 0.250 0.250  -0.09

---

Record 8
# MgNbRePb

A relaxed MgNbRePb crystal (PBE-GGA, the Open Quantum Materials Database).

Results
VASP energy, eV for the cell shown: -26.283
Excess energy over the best structure of this formula in the dataset, meV/atom: 0
ρ, g cm⁻³: 11.68

Cell lengths 4.682, 4.682, 4.682 Å; angles 60.00, 60.00, 60.00 degrees
Fractional positions:
Mg 0.750 0.750 0.750
Nb 0.000 0.000 0.000
Pb 0.500 0.500 0.500
Re 0.250 0.250 0.250

---

Record 9
# Nd3Er3Te2Pd

A relaxed Nd3Er3Te2Pd crystal (PBE-GGA, the Open Quantum Materials Database).

Results
VASP energy, eV for the cell shown: -46.006
Excess energy over the best structure of this formula in the dataset, meV/atom: 132
ρ, g cm⁻³: 8.48

Cell lengths 8.637, 8.637, 3.930 Å; angles 90.00, 90.00, 120.00 degrees
Fractional positions:
Er 0.405 0.000 0.000
Er 0.000 0.405 0.000
Er 0.595 0.595 0.000
Nd 0.748 0.000 0.500
Nd 0.252 0.252 0.500
Nd 0.000 0.748 0.500
Pd 0.000 0.000 0.000
Te 0.667 0.333 0.500
Te 0.333 0.667 0.500

---

Record 10
# Ho2ScCu4Si2Ge2

A relaxed Ho2ScCu4Si2Ge2 crystal (PBE-GGA, the Open Quantum Materials Database).

Results
VASP energy, eV for the cell shown: -57.074
Excess energy over the best structure of this formula in the dataset, meV/atom: 16
ρ, g cm⁻³: 7.50

Cell lengths 7.836, 7.836, 7.836 Å; angles 149.23, 131.16, 58.85 degrees
Fractional positions:
Cu 0.643 0.335 0.308
Cu 0.973 0.665 0.308
Cu 0.357 0.665 0.692
Cu 0.027 0.335 0.692
Ge 0.214 0.214 0.000
Ge 0.786 0.786 0.000
Ho 0.629 0.129 0.500
Ho 0.371 0.871 0.500
Sc 0.000 0.000 0.000
Si 0.689 0.500 0.189
Si 0.311 0.500 0.811

---

Record 11
# CdB2Mo3

A relaxed CdB2Mo3 crystal (PBE-GGA, the Open Quantum Materials Database).

Results
VASP energy, eV for the cell shown: -95.197
ρ, g cm⁻³: 8.47

Cell lengths 3.119, 3.119, 19.636 Å; angles 90.00, 90.00, 120.00 degrees
Fractional positions:
B 0.333 0.667 0.068
B 0.333 0.667 0.432
B 0.667 0.333 0.568
B 0.667 0.333 0.932
Cd 0.000 0.000 0.250
Cd 0.000 0.000 0.750
Mo 0.000 0.000 0.000
Mo 0.667 0.333 0.127
Mo 0.667 0.333 0.373
Mo 0.000 0.000 0.500
Mo 0.333 0.667 0.627
Mo 0.333 0.667 0.873

---

Record 12
# Cd2NiGeAs4

A relaxed Cd2NiGeAs4 crystal (PBE-GGA, the Open Quantum Materials Database).

Results
VASP energy, eV for the cell shown: -30.640
ρ, g cm⁻³: 5.47

Cell lengths 7.098, 7.098, 7.098 Å; angles 131.02, 131.02, 71.78 degrees
Fractional positions:
As 0.114 0.677 0.029
As 0.323 0.352 0.437
As 0.915 0.886 0.563
As 0.648 0.085 0.971
Cd 0.500 0.500 0.000
Cd 0.750 0.250 0.500
Ge 0.250 0.750 0.500
Ni 0.000 0.000 0.000

---

Record 13
# Co2Si3P

A relaxed Co2Si3P crystal (PBE-GGA, the Open Quantum Materials Database).

Results
VASP energy, eV for the cell shown: -38.483
ρ, g cm⁻³: 5.09

Cell lengths 3.774, 3.774, 5.339 Å; angles 90.00, 90.00, 90.00 degrees
Fractional positions:
Co 0.000 0.500 0.243
Co 0.500 0.000 0.757
P 0.000 0.000 0.000
Si 0.500 0.500 0.000
Si 0.000 0.000 0.500
Si 0.500 0.500 0.500

---

Record 14
# CuNiAsPt

A relaxed CuNiAsPt crystal (PBE-GGA, the Open Quantum Materials Database).

Results
VASP energy, eV for the cell shown: -20.002
Excess energy over the best structure of this formula in the dataset, meV/atom: 66
ρ, g cm⁻³: 11.73

Cell lengths 4.282, 4.282, 4.282 Å; angles 60.00, 60.00, 60.00 degrees
Fractional positions:
As 0.000 0.000 0.000
Cu 0.750 0.750 0.750
Ni 0.500 0.500 0.500
Pt 0.250 0.250 0.250

---

Record 15
# Ba2Pm2O5

A relaxed Ba2Pm2O5 crystal (PBE-GGA, the Open Quantum Materials Database).

Results
VASP energy, eV for the cell shown: -63.965
Excess energy over the best structure of this formula in the dataset, meV/atom: 0
ρ, g cm⁻³: 6.17

Cell lengths 8.541, 4.506, 4.506 Å; angles 90.00, 90.00, 90.00 degrees
Fractional positions:
Ba 0.000 0.000 0.000
Ba 0.500 0.000 0.000
O 0.200 0.500 0.000
O 0.800 0.500 0.000
O 0.200 0.000 0.500
O 0.800 0.000 0.500
O 0.500 0.500 0.500
Pm 0.245 0.500 0.500
Pm 0.755 0.500 0.500

---

Record 16
# NaSmCdSe3

A relaxed NaSmCdSe3 crystal (PBE-GGA, the Open Quantum Materials Database).

Results
VASP energy, eV for the cell shown: -99.400
Excess energy over the best structure of this formula in the dataset, meV/atom: 12
ρ, g cm⁻³: 5.29

Cell lengths 12.331, 4.235, 12.571 Å; angles 90.00, 90.00, 90.00 degrees
Fractional positions:
Cd 0.286 0.000 0.236
Cd 0.786 0.500 0.264
Cd 0.214 0.000 0.736
Cd 0.714 0.500 0.764
Na 0.005 0.000 0.130
Na 0.505 0.500 0.370
Na 0.495 0.000 0.630
Na 0.995 0.500 0.870
Se 0.843 0.500 0.059
Se 0.427 0.000 0.084
Se 0.152 0.500 0.225
Se 0.652 0.000 0.275
Se 0.927 0.500 0.416
Se 0.343 0.000 0.441
Se 0.657 0.500 0.559
Se 0.073 0.000 0.584
Se 0.348 0.500 0.725
Se 0.848 0.000 0.775
Se 0.573 0.500 0.916
Se 0.157 0.000 0.941
Sm 0.671 0.000 0.044
Sm 0.171 0.500 0.456
Sm 0.829 0.000 0.544
Sm 0.329 0.500 0.956

---

Record 17
# NiH3

A relaxed NiH3 crystal (PBE-GGA, the Open Quantum Materials Database).

Results
VASP energy, eV for the cell shown: -14.366
Excess energy over the best structure of this formula in the dataset, meV/atom: 78
ρ, g cm⁻³: 5.56

Cell lengths 2.642, 2.642, 2.642 Å; angles 90.00, 90.00, 90.00 degrees
Fractional positions:
H 0.500 0.500 0.000
H 0.500 0.000 0.500
H 0.000 0.500 0.500
Ni 0.000 0.000 0.000

---

Record 18
# Ta4ZnSN2

A relaxed Ta4ZnSN2 crystal (PBE-GGA, the Open Quantum Materials Database).

Results
VASP energy, eV for the cell shown: -74.125
ρ, g cm⁻³: 13.11

Cell lengths 3.041, 3.041, 13.435 Å; angles 90.00, 90.00, 120.00 degrees
Fractional positions:
N 0.333 0.667 0.237
N 0.333 0.667 0.763
S 0.000 0.000 0.000
Ta 0.667 0.333 0.136
Ta 0.000 0.000 0.336
Ta 0.000 0.000 0.664
Ta 0.667 0.333 0.864
Zn 0.667 0.333 0.500

---

Record 19
# GdZnInSe3

A relaxed GdZnInSe3 crystal (PBE-GGA, the Open Quantum Materials Database).

Results
VASP energy, eV for the cell shown: -50.897
Excess energy over the best structure of this formula in the dataset, meV/atom: 20
ρ, g cm⁻³: 5.52

Cell lengths 8.297, 4.123, 10.641 Å; angles 90.00, 108.42, 90.00 degrees
Fractional positions:
Gd 0.193 0.250 0.140
Gd 0.807 0.750 0.860
In 0.770 0.250 0.288
In 0.230 0.750 0.712
Se 0.947 0.750 0.143
Se 0.445 0.750 0.165
Se 0.276 0.250 0.439
Se 0.724 0.750 0.561
Se 0.555 0.250 0.835
Se 0.053 0.250 0.857
Zn 0.425 0.750 0.391
Zn 0.575 0.250 0.609

---

Record 20
# Hf2FeB2

A relaxed Hf2FeB2 crystal (PBE-GGA, the Open Quantum Materials Database).

Results
VASP energy, eV for the cell shown: -44.941
ρ, g cm⁻³: 11.74

Cell lengths 5.978, 5.978, 3.374 Å; angles 90.00, 90.00, 149.36 degrees
Each line ends with the local moment (μB).
Fractional positions:
B 0.791 0.209 0.000  -0.01
B 0.209 0.791 0.000  -0.01
Fe 0.000 0.000 0.000  0.44
Hf 0.632 0.368 0.500  -0.06
Hf 0.368 0.632 0.500  -0.06

---

Record 21
# Sm3Zr4

A relaxed Sm3Zr4 crystal (PBE-GGA, the Open Quantum Materials Database).

Results
VASP energy, eV for the cell shown: -95.226
Excess energy over the best structure of this formula in the dataset, meV/atom: 0
ρ, g cm⁻³: 7.14

Cell lengths 9.046, 9.043, 5.361 Å; angles 90.00, 90.00, 59.99 degrees
Fractional positions:
Sm 0.736 0.420 0.000
Sm 0.277 0.558 0.000
Sm 0.416 0.879 0.000
Sm 0.537 0.359 0.500
Sm 0.676 0.680 0.500
Sm 0.216 0.818 0.500
Zr 0.973 0.014 0.000
Zr 0.585 0.115 0.000
Zr 0.143 0.286 0.000
Zr 0.871 0.728 0.000
Zr 0.367 0.123 0.500
Zr 0.980 0.225 0.500
Zr 0.082 0.510 0.500
Zr 0.810 0.952 0.500

---

Record 22
# PdSeBr3

A relaxed PdSeBr3 crystal (PBE-GGA, the Open Quantum Materials Database).

Results
VASP energy, eV for the cell shown: -27.251
ρ, g cm⁻³: 5.20

Cell lengths 4.236, 7.661, 8.483 Å; angles 90.00, 99.68, 90.00 degrees
Fractional positions:
Br 0.609 0.250 0.007
Br 0.161 0.000 0.305
Br 0.161 0.500 0.305
Br 0.839 0.500 0.695
Br 0.839 0.000 0.695
Br 0.391 0.750 0.993
Pd 0.000 0.000 0.000
Pd 0.000 0.500 0.000
Se 0.997 0.250 0.498
Se 0.003 0.750 0.502